Material: Li2HoHfSe4
Method: DFT, PBE-GGA
State: optimized geometry

Values from the calculation:
Size of the total moment   0.000 μB/atom
Raw formation energy   -1462 meV/atom
VASP energy   -5.4991 eV/atom

Cell lengths 3.880, 6.768, 6.890 Å; angles 108.88, 90.00, 90.00 degrees
Element x y z (fractional)
Li  0.500  0.000  0.500
Li  0.000  0.500  0.500
Ho  0.000  0.000  0.000
Hf  0.500  0.500  0.000
Se  0.500  0.264  0.254
Se  0.500  0.736  0.746
Se  0.000  0.262  0.752
Se  0.000  0.738  0.248

Material: Hf2Sc2Pt
Method: DFT, PBE-GGA
State: optimized geometry

Values from the calculation:
Size of the total moment   0.000 μB/atom
Energy of formation   -258 meV per atom
VASP energy   -7.9804 eV/atom

Cell lengths 6.866, 6.866, 4.808 Å; angles 90.00, 90.00, 90.00 degrees
Element x y z (fractional)
Sc  0.157  0.657  0.500
Sc  0.657  0.843  0.500
Sc  0.843  0.343  0.500
Sc  0.343  0.157  0.500
Hf  0.351  0.851  0.000
Hf  0.851  0.649  0.000
Hf  0.649  0.149  0.000
Hf  0.149  0.351  0.000
Pt  0.000  0.000  0.000
Pt  0.500  0.500  0.000

Material: Pr3Er5H12
Method: DFT, PBE-GGA
State: optimized geometry

Values from the calculation:
Size of the total moment   0.000 μB/atom
VASP energy   -4.3198 eV/atom

Cell lengths 11.479, 11.479, 11.479 Å; angles 109.47, 109.47, 109.47 degrees
Element x y z (fractional)
Pr  0.750  0.375  0.125
Pr  0.875  0.750  0.125
Pr  0.375  0.750  0.625
Pr  0.250  0.125  0.375
Pr  0.875  0.125  0.250
Pr  0.375  0.625  0.250
Pr  0.625  0.375  0.750
Pr  0.125  0.875  0.750
Pr  0.750  0.875  0.625
Pr  0.625  0.250  0.375
Pr  0.125  0.250  0.875
Pr  0.250  0.625  0.875
Er  0.125  0.375  0.250
Er  0.000  0.500  0.000
Er  0.000  0.000  0.000
Er  0.375  0.250  0.125
Er  0.500  0.000  0.500
Er  0.500  0.500  0.000
Er  0.125  0.750  0.375
Er  0.750  0.125  0.875
Er  0.750  0.625  0.375
Er  0.375  0.125  0.750
Er  0.625  0.875  0.250
Er  0.500  0.500  0.500
Er  0.500  0.000  0.000
Er  0.000  0.000  0.500
Er  0.250  0.375  0.625
Er  0.250  0.875  0.125
Er  0.000  0.500  0.500
Er  0.875  0.250  0.625
Er  0.625  0.750  0.875
Er  0.875  0.625  0.750
H  0.718  0.142  0.056
H  0.338  0.556  0.414
H  0.944  0.358  0.282
H  0.556  0.218  0.142
H  0.576  0.718  0.662
H  0.944  0.586  0.162
H  0.338  0.782  0.424
H  0.086  0.924  0.142
H  0.586  0.944  0.662
H  0.718  0.576  0.162
H  0.782  0.444  0.358
H  0.838  0.914  0.056
H  0.142  0.718  0.556
H  0.358  0.414  0.076
H  0.076  0.914  0.358
H  0.424  0.142  0.586
H  0.076  0.162  0.218
H  0.444  0.662  0.086
H  0.838  0.924  0.282
H  0.142  0.424  0.086
H  0.358  0.944  0.782
H  0.586  0.642  0.424
H  0.914  0.838  0.556
H  0.782  0.338  0.924
H  0.414  0.358  0.576
H  0.086  0.162  0.444
H  0.218  0.662  0.076
H  0.162  0.076  0.718
H  0.642  0.056  0.218
H  0.858  0.576  0.914
H  0.556  0.338  0.914
H  0.576  0.858  0.414
H  0.924  0.838  0.782
H  0.924  0.086  0.642
H  0.858  0.282  0.444
H  0.162  0.086  0.944
H  0.642  0.586  0.924
H  0.414  0.056  0.338
H  0.282  0.424  0.838
H  0.218  0.556  0.642
H  0.914  0.076  0.858
H  0.662  0.218  0.576
H  0.444  0.782  0.858
H  0.056  0.414  0.838
H  0.424  0.282  0.338
H  0.056  0.642  0.718
H  0.662  0.444  0.586
H  0.282  0.858  0.944

Material: Ca2TaCl
Method: DFT, PBE-GGA
State: optimized geometry

Values from the calculation:
Size of the total moment   0.224 μB/atom
Raw formation energy   83 meV/atom
VASP energy   -4.3425 eV/atom
Energy above the lowest structure with this stoichiometry   414 meV per atom

Cell lengths 3.239, 3.239, 11.184 Å; angles 90.00, 90.00, 90.00 degrees
Last column: magnetic moment on the atom in μB.
Element x y z (fractional)
Ca  0.000  0.000  0.991  0.02
Ca  0.500  0.500  0.293  -0.01
Cl  0.000  0.000  0.431  0.00
Ta  0.500  0.500  0.784  0.51

Material: MnFe3
Method: DFT, PBE-GGA
State: optimized geometry

Values from the calculation:
Size of the total moment   1.869 μB/atom
Energy of formation   79 meV per atom
VASP energy   -8.5603 eV/atom

Cell lengths 2.426, 4.698, 4.698 Å; angles 117.10, 99.91, 99.91 degrees
Last column: magnetic moment on the atom in μB.
Element x y z (fractional)
Mn  0.500  0.000  0.500  1.09
Fe  0.000  0.000  0.000  2.15
Fe  0.500  0.500  0.000  2.15
Fe  0.000  0.500  0.500  2.15

Material: KRb3O8
Method: DFT, PBE-GGA
State: optimized geometry

Values from the calculation:
Size of the total moment   0.333 μB/atom
Raw formation energy   -808 meV/atom
VASP energy   -4.4469 eV/atom

Cell lengths 7.008, 7.014, 7.019 Å; angles 66.58, 78.11, 113.36 degrees
Last column: magnetic moment on the atom in μB.
Element x y z (fractional)
K  0.000  0.000  0.000  0.00
Rb  0.750  0.500  0.750  0.00
Rb  0.250  0.500  0.250  0.00
Rb  0.500  0.000  0.500  0.00
O  0.079  0.000  0.593  0.40
O  0.592  0.672  0.408  0.40
O  0.921  0.328  0.079  0.40
O  0.408  0.000  0.921  0.40
O  0.882  0.000  0.643  0.41
O  0.643  0.525  0.357  0.41
O  0.118  0.475  0.882  0.41
O  0.357  0.000  0.118  0.41

Material: KNa3Ni2H8
Method: DFT, PBE-GGA
State: optimized geometry

Values from the calculation:
Size of the total moment   0.167 μB/atom
VASP energy   -3.0208 eV/atom

Cell lengths 5.020, 5.020, 8.833 Å; angles 90.00, 90.00, 120.00 degrees
Last column: magnetic moment on the atom in μB.
Element x y z (fractional)
K  0.000  0.000  0.500  0.01
Na  0.333  0.667  0.771  0.01
Na  0.667  0.333  0.229  0.01
Na  0.000  0.000  0.000  0.00
Ni  0.333  0.667  0.184  0.66
Ni  0.667  0.333  0.816  0.66
H  0.333  0.667  0.008  0.02
H  0.667  0.333  0.992  0.02
H  0.168  0.832  0.254  0.03
H  0.832  0.168  0.746  0.03
H  0.168  0.335  0.254  0.03
H  0.832  0.665  0.746  0.03
H  0.665  0.832  0.254  0.03
H  0.335  0.168  0.746  0.03

Material: CdAgRh2
Method: DFT, PBE-GGA
State: optimized geometry

Values from the calculation:
Size of the total moment   0.131 μB/atom
Energy of formation   206 meV per atom
VASP energy   -4.4112 eV/atom

Cell lengths 2.795, 2.795, 9.434 Å; angles 90.00, 90.00, 116.51 degrees
Last column: magnetic moment on the atom in μB.
Element x y z (fractional)
Cd  0.500  0.500  0.000  0.00
Ag  0.500  0.500  0.500  0.01
Rh  0.000  0.000  0.248  0.26
Rh  0.000  0.000  0.752  0.26

Material: KBa2Rh
Method: DFT, PBE-GGA
State: optimized geometry

Values from the calculation:
Size of the total moment   0.000 μB/atom
Energy of formation   14 meV per atom
VASP energy   -3.0594 eV/atom
Energy above the lowest structure with this stoichiometry   126 meV per atom

Cell lengths 11.741, 11.741, 11.741 Å; angles 159.98, 158.84, 29.29 degrees
Element x y z (fractional)
Ba  0.105  0.105  0.000
Ba  0.756  0.256  0.500
K  0.438  0.438  0.000
Rh  0.200  0.700  0.500

Material: DyMgSn2
Method: DFT, PBE-GGA
State: optimized geometry

Values from the calculation:
Size of the total moment   0.000 μB/atom
Energy of formation   -487 meV per atom
VASP energy   -4.0378 eV/atom
Energy above the lowest structure with this stoichiometry   0 meV per atom

Cell lengths 4.397, 4.735, 4.735 Å; angles 90.00, 90.00, 90.00 degrees
Element x y z (fractional)
Mg  0.500  0.000  0.000
Sn  0.000  0.000  0.500
Sn  0.000  0.500  0.000
Dy  0.500  0.500  0.500

Material: SrTe2WC
Method: DFT, PBE-GGA
State: optimized geometry

Values from the calculation:
Size of the total moment   0.291 μB/atom
Raw formation energy   447 meV/atom
VASP energy   -5.5819 eV/atom

Cell lengths 5.338, 4.069, 5.338 Å; angles 90.00, 90.00, 90.00 degrees
Last column: magnetic moment on the atom in μB.
Element x y z (fractional)
Sr  0.500  0.500  0.500  0.02
C  0.000  0.000  0.000  -0.06
Te  0.000  0.000  0.500  -0.02
Te  0.500  0.000  0.000  -0.03
W  0.000  0.500  0.000  1.12

Material: Tb2Sm6Ho3Tl
Method: DFT, PBE-GGA
State: optimized geometry

Values from the calculation:
Size of the total moment   0.000 μB/atom
Energy of formation   -16 meV per atom
VASP energy   -4.4890 eV/atom

Cell lengths 6.167, 6.167, 11.753 Å; angles 95.05, 95.05, 120.11 degrees
Element x y z (fractional)
Tb  0.334  0.666  0.000
Tb  0.666  0.334  0.000
Sm  0.917  0.589  0.751
Sm  0.755  0.755  0.251
Sm  0.083  0.411  0.249
Sm  0.589  0.917  0.751
Sm  0.245  0.245  0.749
Sm  0.411  0.083  0.249
Ho  0.167  0.833  0.500
Ho  0.833  0.167  0.500
Ho  0.500  0.500  0.500
Tl  0.000  0.000  0.000

Material: TlOsS2N
Method: DFT, PBE-GGA
State: optimized geometry

Values from the calculation:
Size of the total moment   0.739 μB/atom
Raw formation energy   2372 meV/atom
VASP energy   -3.6632 eV/atom
Energy above the lowest structure with this stoichiometry   2087 meV per atom

Cell lengths 5.135, 5.135, 4.025 Å; angles 90.00, 90.00, 90.00 degrees
Last column: magnetic moment on the atom in μB.
Element x y z (fractional)
Tl  0.000  0.000  0.000  -0.01
Os  0.500  0.500  0.500  3.10
S  0.000  0.500  0.000  0.06
S  0.500  0.000  0.000  0.06
N  0.000  0.000  0.500  0.05

Material: Rb3Tl5Pb6
Method: DFT, PBE-GGA
State: optimized geometry

Values from the calculation:
Size of the total moment   0.000 μB/atom
Energy of formation   -74 meV per atom
VASP energy   -2.7161 eV/atom

Cell lengths 5.317, 12.382, 15.337 Å; angles 90.00, 90.00, 90.00 degrees
Element x y z (fractional)
Rb  0.000  0.252  0.699
Rb  0.500  0.748  0.199
Rb  0.500  0.748  0.801
Rb  0.000  0.249  0.000
Rb  0.500  0.751  0.500
Rb  0.000  0.252  0.301
Tl  0.000  0.533  0.854
Tl  0.000  0.879  0.657
Tl  0.000  0.750  0.000
Tl  0.500  0.467  0.646
Tl  0.500  0.250  0.500
Tl  0.000  0.533  0.146
Tl  0.500  0.467  0.354
Tl  0.000  0.879  0.343
Tl  0.500  0.121  0.843
Tl  0.500  0.121  0.157
Pb  0.000  0.968  0.858
Pb  0.500  0.032  0.642
Pb  0.500  0.381  0.847
Pb  0.500  0.555  0.000
Pb  0.000  0.445  0.500
Pb  0.000  0.619  0.653
Pb  0.000  0.619  0.347
Pb  0.500  0.945  0.000
Pb  0.000  0.968  0.142
Pb  0.500  0.381  0.153
Pb  0.000  0.055  0.500
Pb  0.500  0.032  0.358

Material: HfVCr
Method: DFT, PBE-GGA
State: optimized geometry

Values from the calculation:
Size of the total moment   0.000 μB/atom
Energy of formation   105 meV per atom
VASP energy   -9.4603 eV/atom
Energy above the lowest structure with this stoichiometry   178 meV per atom

Cell lengths 5.579, 4.189, 9.698 Å; angles 90.00, 124.49, 90.00 degrees
Element x y z (fractional)
Cr  0.054  0.000  0.646
Cr  0.946  0.000  0.354
Cr  0.054  0.500  0.146
Cr  0.946  0.500  0.854
Hf  0.406  0.000  0.326
Hf  0.594  0.000  0.674
Hf  0.406  0.500  0.826
Hf  0.594  0.500  0.174
V  0.208  0.000  0.973
V  0.792  0.000  0.027
V  0.208  0.500  0.473
V  0.792  0.500  0.527

Material: SrCuH2F8
Method: DFT, PBE-GGA
State: optimized geometry

Values from the calculation:
Size of the total moment   0.086 μB/atom
VASP energy   -4.2132 eV/atom

Cell lengths 5.126, 4.661, 7.092 Å; angles 87.74, 100.08, 70.41 degrees
Last column: magnetic moment on the atom in μB.
Element x y z (fractional)
Sr  0.000  0.000  0.500  0.00
Cu  0.000  0.000  0.000  0.44
H  0.478  0.298  0.678  0.00
H  0.522  0.702  0.322  0.00
F  0.262  0.748  0.249  0.13
F  0.785  0.769  0.983  0.09
F  0.795  0.220  0.164  0.04
F  0.738  0.252  0.751  0.13
F  0.215  0.231  0.017  0.09
F  0.205  0.780  0.836  0.04
F  0.713  0.661  0.420  0.01
F  0.287  0.339  0.580  0.01

Material: SmNbAlIr2
Method: DFT, PBE-GGA
State: optimized geometry

Values from the calculation:
Size of the total moment   0.000 μB/atom
Energy of formation   -738 meV per atom
VASP energy   -7.9884 eV/atom

Cell lengths 4.167, 4.167, 6.380 Å; angles 109.06, 109.06, 90.00 degrees
Element x y z (fractional)
Sm  0.000  0.000  0.000
Nb  0.250  0.750  0.500
Al  0.750  0.250  0.500
Ir  0.613  0.613  0.226
Ir  0.387  0.387  0.774

Material: TlPtRhCl6
Method: DFT, PBE-GGA
State: optimized geometry

Values from the calculation:
Size of the total moment   0.222 μB/atom
Raw formation energy   -508 meV/atom
VASP energy   -3.4902 eV/atom

Cell lengths 6.461, 6.461, 7.040 Å; angles 90.00, 90.00, 60.00 degrees
Last column: magnetic moment on the atom in μB.
Element x y z (fractional)
Tl  0.000  0.000  0.000  0.01
Pt  0.667  0.667  0.500  1.18
Rh  0.333  0.333  0.500  0.06
Cl  0.020  0.354  0.310  0.09
Cl  0.354  0.020  0.690  0.09
Cl  0.626  0.354  0.690  0.09
Cl  0.020  0.626  0.690  0.09
Cl  0.354  0.626  0.310  0.09
Cl  0.626  0.020  0.310  0.09

Material: LiGdAgPb
Method: DFT, PBE-GGA
State: optimized geometry

Values from the calculation:
Size of the total moment   1.777 μB/atom
Energy of formation   -351 meV per atom
VASP energy   -5.9892 eV/atom

Cell lengths 5.099, 5.099, 5.099 Å; angles 60.00, 60.00, 60.00 degrees
Last column: magnetic moment on the atom in μB.
Element x y z (fractional)
Pb  0.750  0.750  0.750  -0.01
Gd  0.500  0.500  0.500  7.03
Ag  0.250  0.250  0.250  0.00
Li  0.000  0.000  0.000  0.00

Material: Ba2Sb2H4Rh
Method: DFT, PBE-GGA
State: optimized geometry

Values from the calculation:
Size of the total moment   0.000 μB/atom
VASP energy   -3.9616 eV/atom

Cell lengths 6.296, 6.296, 6.296 Å; angles 98.86, 115.03, 115.03 degrees
Element x y z (fractional)
Ba  0.500  0.750  0.250
Ba  0.500  0.250  0.750
Sb  0.000  0.671  0.671
Sb  0.000  0.329  0.329
H  0.000  0.823  0.177
H  0.646  0.823  0.823
H  0.000  0.177  0.823
H  0.354  0.177  0.177
Rh  0.000  0.000  0.000